DFT (PBE) results for a relaxed SrPAu2 crystal.

Summary:
energy of formation from the pure elements: -233 meV per atom
N(E_F): 2.5 states/eV/f.u.

abc: 4.969 4.969 4.969
angles: 60.00 60.00 60.00
Fractional coordinates of all 4 atoms:
P (0.500, 0.500, 0.500)
Au (0.750, 0.750, 0.750)
Au (0.000, 0.000, 0.000)
Sr (0.250, 0.250, 0.250)

---

DFT (PBE) results for a relaxed Ac2Pm3Er crystal.

Summary:
energy of formation from the pure elements: 60 meV per atom
N(E_F): 8.7 states/eV/f.u.

abc: 5.892 6.929 15.958
angles: 49.17 79.36 64.84
Fractional coordinates of all 12 atoms:
Ac (0.626, 0.124, 0.624)
Ac (0.125, 0.623, 0.127)
Ac (0.374, 0.876, 0.376)
Ac (0.875, 0.377, 0.873)
Pm (0.583, 0.918, 0.916)
Pm (0.083, 0.416, 0.417)
Pm (0.834, 0.164, 0.167)
Pm (0.917, 0.584, 0.583)
Pm (0.417, 0.082, 0.084)
Pm (0.166, 0.836, 0.833)
Er (0.668, 0.330, 0.334)
Er (0.332, 0.670, 0.666)

---

So what do the calculations give for total magnetic moment? Going down the list: 0.00, 0.00 μB per cell.